# 1
Density functional theory data (PBE) for AgSeBr2 after structural relaxation.

a = 4.0984 Å, b = 4.0984 Å, c = 24.9057 Å
α = 90.00°, β = 90.00°, γ = 120.00°
Space group R-3m (No. 166, hexagonal axes)
Unique sites:
1 Ag 0.0000 0.0000 0.0000
2 Se 0.0000 0.0000 0.5000
3 Br 0.0000 0.0000 0.3969

Calculated values
The energy above the lowest structure with this stoichiometry is 175.7 meV/atom. For the raw formation energy, the calculation gives 0.08 eV per formula unit.


# 2
Density functional theory data (PBE) for Na3NbCu after structural relaxation.

a = 5.9179 Å, b = 5.9179 Å, c = 5.9179 Å
α = 90.00°, β = 90.00°, γ = 90.00°
Space group Pm-3m (No. 221)
Unique sites:
1 Na 0.0000 0.0000 0.5000
2 Nb 0.0000 0.0000 0.0000
3 Cu 0.5000 0.5000 0.5000

Calculated values
The energy above the lowest structure with this stoichiometry is 376.2 meV/atom. The formation energy is 1529.8 meV/atom.


# 3
Density functional theory data (PBE) for NaGaO3 after structural relaxation.

a = 4.0395 Å, b = 4.0395 Å, c = 4.0395 Å
α = 90.00°, β = 90.00°, γ = 90.00°
Space group Pm-3m (No. 221)
Unique sites:
1 Na 0.0000 0.0000 0.0000
2 Ga 0.5000 0.5000 0.5000
3 O 0.0000 0.0000 0.5000

Calculated values
For the raw formation energy, the calculation gives 2.09 eV per formula unit.


Values of E, in order: -2.401; -2.095; -3.426, all in eV/atom.